The following is a DFT calculation (PBE-GGA) of RbLaZn2As after structural relaxation.

## Properties
electronic total energy	-8.02	eV per cell

Cell lengths 5.5808, 5.5808, 6.7164 Å; angles 90.00, 90.00, 90.00 degrees
Closest atoms and distances in Å follow each position.
Space group P4/mmm (No. 123)
Asymmetric unit:
Rb 0.0000 0.0000 0.0000 [1 per cell]  2 La 3.36
La 0.0000 0.0000 0.5000 [1 per cell]  4 Zn 2.79
Zn 0.0000 0.5000 0.5000 [2 per cell]  2 La 2.79
As 0.5000 0.5000 0.0000 [1 per cell]  4 Rb 3.95, 8 Zn 4.37